(1)
Entry from Alexandria: an optimized crystal structure of LaAlSn2 (PBE).

Properties
**Energy relative to the elements**: -1.36 eV/f.u.

a b c (Å): 6.045 6.045 6.045
angles (deg): 47.15 47.15 47.15
Positions (direct):
La: 0.000 0.000 0.000
Al: 0.500 0.500 0.500
Sn: 0.220 0.220 0.220
Sn: 0.780 0.780 0.780


(2)
Entry from Alexandria: an optimized crystal structure of BaNa6 (PBE).

Properties
**Energy relative to the elements**: 0.54 eV/f.u.
**ΔE to the lowest computed polymorph**: 1.52 kcal/mol of atoms

a b c (Å): 5.588 5.588 10.055
angles (deg): 90.00 90.00 90.00
Positions (direct):
Ba: 0.000 0.000 0.000
Na: 0.000 0.000 0.500
Na: 0.000 0.500 0.291
Na: 0.000 0.500 0.709
Na: 0.500 0.000 0.291
Na: 0.500 0.000 0.709
Na: 0.500 0.500 0.000


(3)
Entry from Alexandria: an optimized crystal structure of Pr2GaPd (PBE).

Properties
**Energy relative to the elements**: -2.47 eV/f.u.

a b c (Å): 3.645 3.645 7.577
angles (deg): 90.00 90.00 90.00
Positions (direct):
Pr: 0.000 0.000 0.240
Pr: 0.000 0.000 0.760
Ga: 0.500 0.500 0.500
Pd: 0.500 0.500 0.000


(4)
Entry from Alexandria: an optimized crystal structure of Hg2SbRu (PBE).

Properties
**Raw formation energy**: 0.103 eV/atom

a b c (Å): 3.165 3.192 9.173
angles (deg): 90.00 97.18 90.00
Positions (direct):
Hg: 0.000 0.000 0.000
Hg: 0.043 0.500 0.303
Sb: 0.178 0.500 0.676
Ru: 0.619 0.000 0.510


(5)
Entry from Alexandria: an optimized crystal structure of Nd2Sm7Y2 (PBE).

Properties
**Energy relative to the elements**: 1.58 eV/f.u.
**ΔE to the lowest computed polymorph**: 0.00 kcal/mol of atoms

a b c (Å): 6.979 6.979 8.303
angles (deg): 99.70 99.70 104.14
Positions (direct):
Nd: 0.215 0.785 0.000
Nd: 0.785 0.215 0.000
Sm: 0.007 0.595 0.333
Sm: 0.078 0.078 0.319
Sm: 0.405 0.993 0.667
Sm: 0.500 0.500 0.500
Sm: 0.595 0.007 0.333
Sm: 0.922 0.922 0.681
Sm: 0.993 0.405 0.667
Y: 0.308 0.308 0.030
Y: 0.692 0.692 0.970


(6)
Entry from Alexandria: an optimized crystal structure of CaCdOs2 (PBE).

Properties
**Energy relative to the elements**: 1.02 eV/f.u.

a b c (Å): 2.954 2.954 8.704
angles (deg): 90.00 90.00 90.00
Positions (direct):
Ca: 0.000 0.000 0.000
Cd: 0.500 0.500 0.314
Os: 0.000 0.000 0.563
Os: 0.500 0.500 0.737